Record 1
This record from the Alexandria database describes crystalline Ac2ScBi at its relaxed geometry. The functional is GGA-PBE.

Unit cell a=3.6481 b=3.6481 c=37.9203 alpha=90.00 beta=90.00 gamma=120.00
Space group R-3m (No. 166, hexagonal axes)
Unique sites:
Ac1 0.0000 0.0000 0.0889 x6
Sc1 0.0000 0.0000 0.0000 x3
Bi1 0.0000 0.0000 0.5000 x3

Values from the calculation:
Energy: -4.436 eV/atom
Calculated density: 8.07 g/cm3
Density of states at the Fermi level: 1.62 states/eV/atom
DFT formation energy: 0.7 eV/f.u.
ΔE to the lowest computed polymorph: 1.802 eV per formula unit

***

Record 2
This record from the Alexandria database describes crystalline MnVS2 at its relaxed geometry. The functional is GGA-PBE.

Unit cell a=3.5492 b=3.5492 c=17.8484 alpha=90.00 beta=90.00 gamma=120.00
Space group R-3m (No. 166, hexagonal axes)
Unique sites:
Mn1 0.0000 0.0000 0.0000 x3
V1 0.0000 0.0000 0.5000 x3
S1 0.0000 0.0000 0.2476 x6

Values from the calculation:
Energy: -7.202 eV/atom
Calculated density: 4.35 g/cm3
Density of states at the Fermi level: 1.14 states/eV/atom
Formation energy without anion corrections: -566 meV per atom
ΔE to the lowest computed polymorph: 0.116 eV per formula unit

***

> ΔE to the lowest computed polymorph of number 2 (MnVS2)?

0.116 eV per formula unit